Computed, not measured: an optimized crystal structure of SrTi2Pt2 at the GGA-PBE level of DFT.

space-group type = P4/mbm
DOS at the Fermi energy = 13.6 states/eV/cell
relative energy among the computed polymorphs = 199 meV per atom
ΔE_f = -0.575 eV/atom

Structure (POSCAR):
```
SrTi2Pt2
1.0
8.129 0.000 0.000
0.000 8.129 0.000
0.000 0.000 2.840
Sr Pt Ti
2 4 4
Cartesian
0.000 0.000 0.000
4.065 4.065 0.000
1.355 5.420 1.420
5.420 6.774 1.420
6.774 2.710 1.420
2.710 1.355 1.420
3.039 7.104 0.000
7.104 5.090 0.000
5.090 1.025 0.000
1.025 3.039 0.000
```

Computed, not measured: an optimized crystal structure of PC at the GGA-PBE level of DFT.

space-group type = P1
DOS at the Fermi energy = 0.5 states/eV/cell
relative energy among the computed polymorphs = 465 meV per atom
ΔE_f = 0.777 eV/atom

Structure (POSCAR):
```
PC
1.0
-2.218 1.722 -0.785
-0.786 0.177 -2.799
-2.897 -1.958 -0.329
P C
1 1
Cartesian
-3.792 0.119 -1.995
-2.371 -0.025 -0.876
```

> Among the records above, which one has the lowest ΔE_f?

SrTi2Pt2